## PmPaNiSe4 (PBE)

Data for an optimized crystal structure of PmPaNiSe4.

Summary:
SG: P2_1/m
Formation energy (no corrections) in eV/atom: -1.25
Energy in eV/cell: -85.5

Cell lengths 6.650, 6.181, 8.031 Å; angles 90.00, 106.42, 90.00 degrees
Sites, in units of the cell vectors:
Pm  0.242  0.250  0.057
Pm  0.758  0.750  0.943
Pa  0.252  0.250  0.559
Pa  0.748  0.750  0.441
Ni  0.247  0.750  0.331
Ni  0.753  0.250  0.669
Se  0.017  0.510  0.743
Se  0.017  0.990  0.743
Se  0.428  0.750  0.116
Se  0.431  0.750  0.618
Se  0.569  0.250  0.382
Se  0.572  0.250  0.884
Se  0.983  0.010  0.257
Se  0.983  0.490  0.257

## PmPaTcNi (PBE)

Data for an optimized crystal structure of PmPaTcNi.

Summary:
SG: F-43m
ΔE_f in meV per atom: -61
Energy in eV/cell: -30.6

Cell lengths 4.866, 4.866, 4.866 Å; angles 60.00, 60.00, 60.00 degrees
Sites, in units of the cell vectors:
Pm  0.000  0.000  0.000
Pa  0.500  0.500  0.500
Tc  0.250  0.250  0.250
Ni  0.750  0.750  0.750

## Pr2PaNi (PBE)

Data for an optimized crystal structure of Pr2PaNi.

Summary:
SG: R-3m
ΔE_f in meV per atom: 362
Energy in eV/cell: -23.4

Cell lengths 10.853, 10.853, 10.853 Å; angles 18.02, 18.02, 18.02 degrees
Sites, in units of the cell vectors:
Pr  0.103  0.103  0.103
Pr  0.897  0.897  0.897
Pa  0.000  0.000  0.000
Ni  0.500  0.500  0.500

## Pr2PaNi4 (PBE)

Data for an optimized crystal structure of Pr2PaNi4.

Summary:
SG: I4/mmm
ΔE_f in meV per atom: -108
Energy in eV/cell: -42.9

Cell lengths 6.247, 6.247, 6.247 Å; angles 130.48, 130.48, 72.64 degrees
Sites, in units of the cell vectors:
Pr  0.173  0.173  0.000
Pr  0.827  0.827  0.000
Pa  0.500  0.500  0.000
Ni  0.123  0.623  0.500
Ni  0.377  0.877  0.500
Ni  0.623  0.123  0.500
Ni  0.877  0.377  0.500

## PrPa2Ni6 (PBE)

Data for an optimized crystal structure of PrPa2Ni6.

Summary:
SG: Immm
ΔE_f in meV per atom: -250
Energy in eV/cell: -60.7

Cell lengths 7.558, 7.558, 7.558 Å; angles 153.35, 124.82, 62.31 degrees
Sites, in units of the cell vectors:
Pr  0.000  0.000  0.000
Pa  0.355  0.855  0.500
Pa  0.645  0.145  0.500
Ni  0.024  0.321  0.703
Ni  0.327  0.500  0.827
Ni  0.383  0.679  0.703
Ni  0.617  0.321  0.297
Ni  0.673  0.500  0.173
Ni  0.976  0.679  0.297

## PrPaNi4 (PBE)

Data for an optimized crystal structure of PrPaNi4.

Summary:
SG: F-43m
ΔE_f in meV per atom: -253
Energy in eV/cell: -38.9

Cell lengths 5.112, 5.112, 5.112 Å; angles 60.00, 60.00, 60.00 degrees
Sites, in units of the cell vectors:
Pr  0.000  0.000  0.000
Pa  0.750  0.750  0.750
Ni  0.376  0.376  0.376
Ni  0.376  0.376  0.871
Ni  0.376  0.871  0.376
Ni  0.871  0.376  0.376

## PrPaNi10 (PBE)

Data for an optimized crystal structure of PrPaNi10.

Summary:
SG: Pmmm
ΔE_f in meV per atom: -333
Energy in eV/cell: -76.1

Cell lengths 3.998, 4.910, 8.469 Å; angles 90.00, 90.00, 90.00 degrees
Sites, in units of the cell vectors:
Pr  0.000  0.000  0.000
Pa  0.000  0.500  0.500
Ni  0.000  0.000  0.342
Ni  0.000  0.000  0.658
Ni  0.000  0.500  0.181
Ni  0.000  0.500  0.819
Ni  0.500  0.000  0.500
Ni  0.500  0.255  0.257
Ni  0.500  0.255  0.743
Ni  0.500  0.500  0.000
Ni  0.500  0.745  0.257
Ni  0.500  0.745  0.743

## PrPaNi17 (PBE)

Data for an optimized crystal structure of PrPaNi17.

Summary:
SG: R3m
ΔE_f in meV per atom: -192
Energy in eV/cell: -116.2

Cell lengths 6.269, 6.269, 6.269 Å; angles 83.02, 83.02, 83.02 degrees
Sites, in units of the cell vectors:
Pr  0.000  0.000  0.000
Pa  0.325  0.325  0.325
Ni  0.010  0.010  0.502
Ni  0.010  0.502  0.010
Ni  0.159  0.662  0.662
Ni  0.317  0.317  0.810
Ni  0.317  0.810  0.317
Ni  0.368  0.657  0.957
Ni  0.368  0.957  0.657
Ni  0.502  0.010  0.010
Ni  0.557  0.557  0.557
Ni  0.657  0.368  0.957
Ni  0.657  0.957  0.368
Ni  0.662  0.159  0.662
Ni  0.662  0.662  0.159
Ni  0.757  0.757  0.757
Ni  0.810  0.317  0.317
Ni  0.957  0.368  0.657
Ni  0.957  0.657  0.368

## Pr2PaNi9 (PBE)

Data for an optimized crystal structure of Pr2PaNi9.

Summary:
SG: R-3m
ΔE_f in meV per atom: -322
Energy in eV/cell: -74.9

Cell lengths 8.859, 8.859, 8.859 Å; angles 32.57, 32.57, 32.57 degrees
Sites, in units of the cell vectors:
Pr  0.138  0.138  0.138
Pr  0.862  0.862  0.862
Pa  0.000  0.000  0.000
Ni  0.080  0.579  0.579
Ni  0.333  0.333  0.333
Ni  0.421  0.421  0.920
Ni  0.421  0.920  0.421
Ni  0.500  0.500  0.500
Ni  0.579  0.080  0.579
Ni  0.579  0.579  0.080
Ni  0.667  0.667  0.667
Ni  0.920  0.421  0.421

## PrPaNiRh (PBE)

Data for an optimized crystal structure of PrPaNiRh.

Summary:
SG: F-43m
ΔE_f in meV per atom: -299
Energy in eV/cell: -28.6

Cell lengths 4.905, 4.905, 4.905 Å; angles 60.00, 60.00, 60.00 degrees
Sites, in units of the cell vectors:
Pr  0.000  0.000  0.000
Pa  0.500  0.500  0.500
Ni  0.750  0.750  0.750
Rh  0.250  0.250  0.250

## PrPaNiSe4 (PBE)

Data for an optimized crystal structure of PrPaNiSe4.

Summary:
SG: P2_1/m
Formation energy (no corrections) in eV/atom: -1.26
Energy in eV/cell: -85.6

Cell lengths 6.674, 6.194, 8.118 Å; angles 90.00, 106.60, 90.00 degrees
Sites, in units of the cell vectors:
Pr  0.243  0.250  0.058
Pr  0.757  0.750  0.942
Pa  0.253  0.250  0.559
Pa  0.747  0.750  0.441
Ni  0.246  0.750  0.330
Ni  0.754  0.250  0.670
Se  0.018  0.510  0.739
Se  0.018  0.990  0.739
Se  0.426  0.750  0.118
Se  0.430  0.750  0.614
Se  0.570  0.250  0.386
Se  0.574  0.250  0.882
Se  0.982  0.010  0.261
Se  0.982  0.490  0.261

## Pr2PaNiSe5 (PBE)

Data for an optimized crystal structure of Pr2PaNiSe5.

Summary:
SG: Cmc2_1
Formation energy (no corrections) in eV/atom: -1.48
Energy in eV/cell: -111.1

Cell lengths 8.931, 8.931, 12.597 Å; angles 90.00, 90.00, 154.17 degrees
Sites, in units of the cell vectors:
Pr  0.109  0.891  0.500
Pr  0.119  0.881  0.850
Pr  0.881  0.119  0.350
Pr  0.891  0.109  0.000
Pa  0.176  0.824  0.173
Pa  0.824  0.176  0.673
Ni  0.435  0.565  0.576
Ni  0.565  0.435  0.076
Se  0.019  0.981  0.167
Se  0.307  0.693  0.839
Se  0.308  0.692  0.510
Se  0.342  0.658  0.172
Se  0.499  0.501  0.907
Se  0.501  0.499  0.407
Se  0.658  0.342  0.672
Se  0.692  0.308  0.010
Se  0.693  0.307  0.339
Se  0.981  0.019  0.667